TbIn2CuPd4 | PBE | relaxed

Unit cell a=4.6266 b=4.6266 c=8.2047 alpha=73.62 beta=73.62 gamma=60.00
With the nearest neighbours (Å) after each atom.
Sites, in units of the cell vectors:
1 Tb 0.0000 0.0000 0.0000  8 Pd 2.93-2.96
2 In 0.7555 0.7555 0.7336  7 Pd 2.76-2.81
3 In 0.2445 0.2445 0.2664  7 Pd 2.76-2.81
4 Pd 0.8741 0.8741 0.3776  4 In 2.76-2.81, 3 Cu 2.83, 1 Tb 2.93
5 Pd 0.1259 0.1259 0.6224  4 In 2.76-2.81, 3 Cu 2.83, 1 Tb 2.93
6 Pd 0.3877 0.3877 0.8369  1 Cu 2.61, 3 In 2.79
7 Pd 0.6123 0.6123 0.1631  1 Cu 2.61, 3 In 2.79
8 Cu 0.5000 0.5000 0.5000  8 Pd 2.61-2.83

* symmetry: R-3m, No. 166
* ΔE_f: -0.57 eV/atom

---

ThInCuPd | PBE | relaxed

Unit cell a=4.8997 b=4.8997 c=4.8997 alpha=60.00 beta=60.00 gamma=60.00
With the nearest neighbours (Å) after each atom.
Sites, in units of the cell vectors:
1 Pd 0.7500 0.7500 0.7500  4 Th 3.00, 4 In 3.00
2 Cu 0.2500 0.2500 0.2500  4 In 3.00, 4 Th 3.00
3 In 0.5000 0.5000 0.5000  4 Cu 3.00, 4 Pd 3.00
4 Th 0.0000 0.0000 0.0000  4 Pd 3.00, 4 Cu 3.00

* symmetry: F-43m, No. 216
* ΔE_f: -0.49 eV/atom

---

Ti2In2Cu7Pd | PBE | relaxed

Unit cell a=3.4418 b=3.4418 c=16.1020 alpha=83.78 beta=83.78 gamma=90.00
With the nearest neighbours (Å) after each atom.
Sites, in units of the cell vectors:
1 Cu 0.5000 0.5000 0.0000  4 Pd 2.43, 8 Cu 2.68-2.69
2 Cu 0.0675 0.5676 0.8703  6 Cu 2.43-2.69, 2 Ti 2.65-2.66, 2 Pd 2.68-2.69
3 Cu 0.4324 0.9325 0.1297  6 Cu 2.43-2.69, 2 Ti 2.65-2.66, 2 Pd 2.68-2.69
4 Cu 0.7319 0.7319 0.5398  5 In 2.73-2.84, 4 Cu 2.73-2.76
5 Cu 0.2681 0.2681 0.4602  5 In 2.73-2.84, 4 Cu 2.73-2.76
6 Cu 0.9325 0.4324 0.1297  6 Cu 2.43-2.69, 2 Ti 2.65-2.66, 2 Pd 2.68-2.69
7 Cu 0.5676 0.0675 0.8703  6 Cu 2.43-2.69, 2 Ti 2.65-2.66, 2 Pd 2.68-2.69
8 Ti 0.3690 0.3690 0.2569  4 Cu 2.65-2.66
9 Ti 0.6310 0.6310 0.7431  4 Cu 2.65-2.66
10 In 0.1864 0.1864 0.6315  5 Cu 2.73-2.84, 4 Ti 3.01-3.02
11 In 0.8136 0.8136 0.3685  5 Cu 2.73-2.84, 4 Ti 3.01-3.02
12 Pd 0.0000 0.0000 0.0000  12 Cu 2.43-2.69

* symmetry: C2/m, No. 12
* ΔE_f: 0.13 eV/atom

---

YIn2CuPd4 | PBE | relaxed

Unit cell a=4.6215 b=4.6215 c=8.2092 alpha=73.65 beta=73.65 gamma=60.00
With the nearest neighbours (Å) after each atom.
Sites, in units of the cell vectors:
1 Y 0.0000 0.0000 0.0000  8 Pd 2.94-2.96
2 In 0.2449 0.2449 0.2653  7 Pd 2.76-2.81
3 In 0.7551 0.7551 0.7347  7 Pd 2.76-2.81
4 Pd 0.6118 0.6118 0.1646  1 Cu 2.60, 3 In 2.78
5 Pd 0.8738 0.8738 0.3786  4 In 2.76-2.81, 3 Cu 2.83, 1 Y 2.94
6 Pd 0.1262 0.1262 0.6214  4 In 2.76-2.81, 3 Cu 2.83, 1 Y 2.94
7 Pd 0.3882 0.3882 0.8354  1 Cu 2.60, 3 In 2.78
8 Cu 0.5000 0.5000 0.5000  8 Pd 2.60-2.83

* symmetry: R-3m, No. 166
* ΔE_f: -0.57 eV/atom

---

Pm6InCu2 | PBE | relaxed

Unit cell a=8.7607 b=8.7607 c=8.7607 alpha=106.03 beta=108.68 gamma=113.80
With the nearest neighbours (Å) after each atom.
Sites, in units of the cell vectors:
1 Cu 0.5000 0.6171 0.1171  1 Cu 2.47
2 Cu 0.3521 0.0000 0.3521  8 Pm 2.96-3.19, 1 Cu 3.02
3 Cu 0.6479 0.0000 0.6479  8 Pm 2.96-3.19, 1 Cu 3.02
4 Cu 0.5000 0.3829 0.8829  1 Cu 2.47
5 Pm 0.1977 0.2374 0.4351  1 Cu 2.96, 1 In 3.22
6 Pm 0.5323 0.7177 0.8147  3 Cu 3.07-3.19, 1 In 3.30
7 Pm 0.1977 0.7625 0.9602  1 Cu 2.96, 1 In 3.22
8 Pm 0.0970 0.2823 0.8147  3 Cu 3.07-3.19, 1 In 3.30
9 Pm 0.3036 0.6242 0.3206  3 Cu 2.85-3.06
10 Pm 0.6964 0.0170 0.3206  3 Cu 2.85-3.06
11 Pm 0.6964 0.3758 0.6794  3 Cu 2.85-3.06
12 Pm 0.3036 0.9830 0.6794  3 Cu 2.85-3.06
13 Pm 0.8023 0.7625 0.5649  1 Cu 2.96, 1 In 3.22
14 Pm 0.8023 0.2374 0.0398  1 Cu 2.96, 1 In 3.22
15 Pm 0.4677 0.2823 0.1853  3 Cu 3.07-3.19, 1 In 3.30
16 Pm 0.9030 0.7177 0.1853  3 Cu 3.07-3.19, 1 In 3.30
17 In 0.0000 0.5000 0.5000  12 Pm 3.43-3.83
18 In 0.0000 0.0000 0.0000  8 Pm 3.22-3.30, 2 Cu 3.60

* symmetry: Immm, No. 71
* ΔE_f: -0.18 eV/atom

---

PmInCu | PBE | relaxed

Unit cell a=4.6987 b=7.7864 c=7.5072 alpha=90.00 beta=90.00 gamma=90.00
With the nearest neighbours (Å) after each atom.
Sites, in units of the cell vectors:
1 Pm 0.2500 0.7972 0.4835  4 Cu 3.10-3.36, 6 In 3.25-3.35
2 Pm 0.7500 0.2972 0.0165  4 Cu 3.10-3.36, 6 In 3.25-3.35
3 Pm 0.2500 0.7028 0.9835  4 Cu 3.10-3.36, 6 In 3.25-3.35
4 Pm 0.7500 0.2028 0.5165  4 Cu 3.10-3.36, 6 In 3.25-3.35
5 Cu 0.7500 0.9179 0.8043  4 In 2.70-2.89
6 Cu 0.7500 0.5821 0.3043  4 In 2.70-2.89
7 Cu 0.2500 0.4179 0.6957  4 In 2.70-2.89
8 Cu 0.2500 0.0821 0.1957  4 In 2.70-2.89
9 In 0.2500 0.4111 0.3109  4 Cu 2.70-2.89
10 In 0.2500 0.0889 0.8109  4 Cu 2.70-2.89
11 In 0.7500 0.9111 0.1891  4 Cu 2.70-2.89
12 In 0.7500 0.5889 0.6891  4 Cu 2.70-2.89

* energy relative to the lowest polymorph listed for this composition: 0 meV per atom
* symmetry: Pnma, No. 62
* ΔE_f: -0.36 eV/atom

---

PmIn4Cu2 | PBE | relaxed

Unit cell a=4.5601 b=7.2654 c=18.2674 alpha=90.00 beta=90.00 gamma=90.00
With the nearest neighbours (Å) after each atom.
Sites, in units of the cell vectors:
1 In 0.7500 0.7310 0.3077  3 Cu 2.72-2.74, 1 In 2.97
2 In 0.7500 0.9984 0.0702  4 Cu 2.73-2.99
3 In 0.2500 0.0016 0.9298  4 Cu 2.73-2.99
4 In 0.7500 0.3223 0.3156  4 Cu 2.70-2.81, 1 In 2.97
5 In 0.7500 0.1777 0.8156  4 Cu 2.70-2.81, 1 In 2.97
6 In 0.7500 0.7690 0.8077  3 Cu 2.72-2.74, 1 In 2.97
7 In 0.2500 0.6777 0.6844  4 Cu 2.70-2.81, 1 In 2.97
8 In 0.2500 0.4984 0.4298  4 Cu 2.73-2.99
9 In 0.7500 0.6470 0.9687  3 Cu 2.72-2.85
10 In 0.2500 0.3530 0.0313  3 Cu 2.72-2.85
11 In 0.7500 0.8530 0.4687  3 Cu 2.72-2.85
12 In 0.7500 0.5016 0.5702  4 Cu 2.73-2.99
13 In 0.2500 0.2310 0.1923  3 Cu 2.72-2.74, 1 In 2.97
14 In 0.2500 0.1470 0.5313  3 Cu 2.72-2.85
15 In 0.2500 0.8223 0.1844  4 Cu 2.70-2.81, 1 In 2.97
16 In 0.2500 0.2690 0.6923  3 Cu 2.72-2.74, 1 In 2.97
17 Cu 0.7500 0.2440 0.4601  7 In 2.70-2.99
18 Cu 0.2500 0.7440 0.0399  7 In 2.70-2.99
19 Cu 0.2500 0.7560 0.5399  7 In 2.70-2.99
20 Cu 0.7500 0.2560 0.9601  7 In 2.70-2.99
21 Cu 0.7500 0.0320 0.2192  7 In 2.72-2.81
22 Cu 0.2500 0.5320 0.2808  7 In 2.72-2.81
23 Cu 0.7500 0.4680 0.7192  7 In 2.72-2.81
24 Cu 0.2500 0.9680 0.7808  7 In 2.72-2.81
25 Pm 0.2500 0.0206 0.3589  9 In 3.24-3.50, 4 Cu 3.35-3.42
26 Pm 0.7500 0.5206 0.1411  9 In 3.24-3.50, 4 Cu 3.35-3.42
27 Pm 0.7500 0.9794 0.6411  9 In 3.24-3.50, 4 Cu 3.35-3.42
28 Pm 0.2500 0.4794 0.8589  9 In 3.24-3.50, 4 Cu 3.35-3.42

* symmetry: Pnma, No. 62
* ΔE_f: -0.23 eV/atom

---

Pm2In8Cu | PBE | relaxed

Unit cell a=4.7242 b=4.7242 c=12.2986 alpha=90.00 beta=90.00 gamma=90.00
With the nearest neighbours (Å) after each atom.
Sites, in units of the cell vectors:
1 In 0.5000 0.5000 0.6925  8 In 3.27-3.34, 4 Pm 3.34
2 In 0.0000 0.5000 0.5000  4 Pm 3.34, 8 In 3.34
3 In 0.5000 0.0000 0.5000  4 Pm 3.34, 8 In 3.34
4 In 0.5000 0.0000 0.8768  2 Cu 2.81, 1 In 3.03
5 In 0.0000 0.5000 0.8768  2 Cu 2.81, 1 In 3.03
6 In 0.5000 0.5000 0.3075  8 In 3.27-3.34, 4 Pm 3.34
7 In 0.5000 0.0000 0.1232  2 Cu 2.81, 1 In 3.03
8 In 0.0000 0.5000 0.1232  2 Cu 2.81, 1 In 3.03
9 Pm 0.0000 0.0000 0.3084  12 In 3.28-3.34
10 Pm 0.0000 0.0000 0.6916  12 In 3.28-3.34
11 Cu 0.0000 0.0000 0.0000  8 In 2.81

* symmetry: P4/mmm, No. 123
* ΔE_f: -0.33 eV/atom

---

PmIn2Cu | PBE | relaxed

Unit cell a=4.0920 b=4.5659 c=10.3573 alpha=102.73 beta=90.00 gamma=90.00
With the nearest neighbours (Å) after each atom.
Sites, in units of the cell vectors:
1 In 0.5000 0.7109 0.4217  1 Cu 2.55, 2 In 2.78
2 In 0.5000 0.2891 0.5783  1 Cu 2.55, 2 In 2.78
3 In 0.5000 0.0000 0.0000  4 Cu 2.85, 4 In 3.07
4 In 0.0000 0.5000 0.0000  4 Cu 2.66
5 Cu 0.5000 0.5845 0.1690  5 In 2.55-2.85
6 Cu 0.5000 0.4155 0.8310  5 In 2.55-2.85
7 Pm 0.0000 0.1378 0.2756  4 Cu 3.25, 8 In 3.40-3.60
8 Pm 0.0000 0.8622 0.7244  4 Cu 3.25, 8 In 3.40-3.60

* energy relative to the lowest polymorph listed for this composition: 0 meV per atom
* symmetry: Cmmm, No. 65
* ΔE_f: -0.33 eV/atom

---

PmInCu | PBE | relaxed

Unit cell a=4.7072 b=4.7072 c=4.7072 alpha=60.00 beta=60.00 gamma=60.00
With the nearest neighbours (Å) after each atom.
Sites, in units of the cell vectors:
1 Pm 0.0000 0.0000 0.0000  4 Cu 2.88
2 In 0.5000 0.5000 0.5000  4 Cu 2.88
3 Cu 0.2500 0.2500 0.2500  4 Pm 2.88, 4 In 2.88

* energy relative to the lowest polymorph listed for this composition: 53 meV per atom
* symmetry: F-43m, No. 216
* ΔE_f: -0.31 eV/atom

---

PmInCu | PBE | relaxed

Unit cell a=3.3833 b=3.3833 c=6.3548 alpha=105.44 beta=105.44 gamma=90.00
With the nearest neighbours (Å) after each atom.
Sites, in units of the cell vectors:
1 Cu 0.2721 0.2721 0.5442  4 In 2.84, 4 Pm 3.08
2 Pm 0.9364 0.9364 0.8727  4 Cu 3.08, 4 Pm 3.38, 4 In 3.40
3 In 0.6415 0.6415 0.2831  4 Cu 2.84

* energy relative to the lowest polymorph listed for this composition: 167 meV per atom
* symmetry: I4mm, No. 107
* ΔE_f: -0.20 eV/atom

---

Pm2InCu2 | PBE | relaxed

Unit cell a=3.8314 b=7.7185 c=7.7185 alpha=90.00 beta=90.00 gamma=90.00
With the nearest neighbours (Å) after each atom.
Sites, in units of the cell vectors:
1 Cu 0.0000 0.1182 0.3818  1 Cu 2.58
2 Cu 0.0000 0.6182 0.1182  1 Cu 2.58
3 Cu 0.0000 0.3818 0.8818  1 Cu 2.58
4 Cu 0.0000 0.8818 0.6182  1 Cu 2.58
5 Pm 0.5000 0.6749 0.8251  6 Cu 2.96-3.00
6 Pm 0.5000 0.3251 0.1749  6 Cu 2.96-3.00
7 Pm 0.5000 0.8251 0.3251  6 Cu 2.96-3.00
8 Pm 0.5000 0.1749 0.6749  6 Cu 2.96-3.00
9 In 0.0000 0.0000 0.0000  4 Cu 3.08, 8 Pm 3.43
10 In 0.0000 0.5000 0.5000  4 Cu 3.08, 8 Pm 3.43

* symmetry: P4/mbm, No. 127
* ΔE_f: -0.35 eV/atom